Record 1
First-principles (PBEsol) data for a geometry-optimized TaHg2P structure, as listed in Alexandria.

Cell: 3.2590 3.2590 8.7752 Å, 79.30 79.30 60.00°
Fractional coordinates of all 4 atoms:
Hg: 0.9937 0.9937 0.0189
Hg: 0.7551 0.7551 0.7347
P: 0.5124 0.5124 0.4627
Ta: 0.2388 0.2388 0.2838

Results
As for the total energy: -4.836 eV/atom. The energy of formation from the pure elements comes out at 0.8 kcal/mol of atoms. The density of states at the Fermi level is 2.9 states/eV/f.u.


Record 2
First-principles (PBEsol) data for a geometry-optimized TaOsPb3 structure, as listed in Alexandria.

Cell: 5.1758 5.1758 5.1758 Å, 90.00 90.00 90.00°
Fractional coordinates of all 5 atoms:
Os: 0.0000 0.0000 0.0000
Pb: 0.5000 0.0000 0.0000
Pb: 0.0000 0.0000 0.5000
Pb: 0.0000 0.5000 0.0000
Ta: 0.5000 0.5000 0.5000

Results
As for the total energy: -5.833 eV/atom. The energy of formation from the pure elements comes out at 35.0 kcal/mol of atoms. The density of states at the Fermi level is 7.8 states/eV/f.u.


Record 3
First-principles (PBEsol) data for a geometry-optimized POsBr2 structure, as listed in Alexandria.

Cell: 4.4904 4.4904 4.4904 Å, 97.40 115.82 115.82°
Fractional coordinates of all 4 atoms:
P: 0.5000 0.2500 0.7500
Br: 0.5000 0.7500 0.2500
Br: 0.0000 0.0000 0.0000
Os: 0.0000 0.5000 0.5000

Results
The value obtained for the uncorrected formation energy is 114 kJ/mol of atoms. The relative energy among the computed polymorphs comes out at 0.735 eV/atom. As for the total energy: -4.253 eV/atom. The density of states at the Fermi level is 2.6 states/eV/f.u.